{
  "formula": "Dy2Ga3CuAu4",
  "functional": "PBE",
  "state": "optimized geometry",
  "lattice_angstrom": [[4.207, 0.000, 0.000], [0.000, 4.207, 0.000], [0.000, 0.000, 11.222]],
  "species": ["Ga", "Ga", "Ga", "Au", "Au", "Au", "Au", "Cu", "Dy", "Dy"],
  "fractional_positions": [[0.000, 0.000, 0.500], [0.000, 0.500, 0.136], [0.500, 0.000, 0.864], [0.500, 0.000, 0.642], [0.000, 0.000, 0.000], [0.000, 0.500, 0.358], [0.500, 0.500, 0.000], [0.500, 0.500, 0.500], [0.000, 0.500, 0.748], [0.500, 0.000, 0.252]],
  "crystal_system": "tetragonal",
  "dft_energy_ev_per_atom": -4.0755,
  "sg": "P-4m2 (115)",
  "n_ef_per_ev_fu": 3.90,
  "formation_energy_mev_per_atom": -526
}

{
  "formula": "FeTcOs",
  "functional": "PBE",
  "state": "optimized geometry",
  "lattice_angstrom": [[-2.680, 1.642, -3.923], [-3.345, -2.418, -2.869], [1.454, 0.985, 4.710]],
  "species": ["Fe", "Os", "Tc"],
  "fractional_positions": [[0.000, 0.000, 0.000], [0.340, 0.340, 0.000], [0.660, 0.660, 0.000]],
  "crystal_system": "tetragonal",
  "dft_energy_ev_per_atom": -9.8406,
  "sg": "I4mm (107)",
  "n_ef_per_ev_fu": 2.54,
  "de_polymorph_mev_per_atom": 188,
  "formation_energy_mev_per_atom": 179
}

Please write out number 1 again, unchanged.
{
  "formula": "Dy2Ga3CuAu4",
  "functional": "PBE",
  "state": "optimized geometry",
  "lattice_angstrom": [[4.207, 0.000, 0.000], [0.000, 4.207, 0.000], [0.000, 0.000, 11.222]],
  "species": ["Ga", "Ga", "Ga", "Au", "Au", "Au", "Au", "Cu", "Dy", "Dy"],
  "fractional_positions": [[0.000, 0.000, 0.500], [0.000, 0.500, 0.136], [0.500, 0.000, 0.864], [0.500, 0.000, 0.642], [0.000, 0.000, 0.000], [0.000, 0.500, 0.358], [0.500, 0.500, 0.000], [0.500, 0.500, 0.500], [0.000, 0.500, 0.748], [0.500, 0.000, 0.252]],
  "crystal_system": "tetragonal",
  "dft_energy_ev_per_atom": -4.0755,
  "sg": "P-4m2 (115)",
  "n_ef_per_ev_fu": 3.90,
  "formation_energy_mev_per_atom": -526
}